# 1
DFT (PBE-GGA) results for crystalline AcCdCoH6 at its relaxed geometry.

Results
- V (A^3/atom) = 10.164
- D(E_F) (states/eV/atom) = 0.26
- size of the total moment (μB/atom) = 0.000
- calculated density (g/cm3) = 7.34
- raw total energy (eV per atom) = -3.767

Cell: 4.7465 4.7465 4.6885 Å, 90.00 90.00 120.00°
Fractional coordinates of all 9 atoms:
Ac 0.0000 0.0000 0.0000
Cd 0.3333 0.6667 0.5000
Co 0.6667 0.3333 0.5000
H 0.5299 0.0598 0.2494
H 0.5299 0.0598 0.7506
H 0.5299 0.4701 0.2494
H 0.5299 0.4701 0.7506
H 0.9402 0.4701 0.2494
H 0.9402 0.4701 0.7506


# 2
DFT (PBE-GGA) results for crystalline Cs3CdAu3 at its relaxed geometry.

Results
- energy relative to the lowest polymorph listed for this composition (meV/atom) = 0
- V (A^3/atom) = 39.491
- D(E_F) (states/eV/atom) = 0.25
- size of the total moment (μB/atom) = 0.000
- calculated density (g/cm3) = 6.62

Cell: 7.0554 7.0554 17.3681 Å, 109.46 109.46 43.23°
Fractional coordinates of all 14 atoms:
Cs 0.0246 0.0246 0.3884
Cs 0.1015 0.1015 0.9222
Cs 0.2495 0.2495 0.2271
Cs 0.7505 0.7505 0.7729
Cs 0.8985 0.8985 0.0778
Cs 0.9754 0.9754 0.6116
Cd 0.2636 0.2636 0.6008
Cd 0.7364 0.7364 0.3992
Au 0.3268 0.3268 0.4505
Au 0.4041 0.4041 0.9221
Au 0.4405 0.4405 0.7628
Au 0.5595 0.5595 0.2372
Au 0.5959 0.5959 0.0779
Au 0.6732 0.6732 0.5495


# 3
DFT (PBE-GGA) results for crystalline K3Rb3Na2Hg at its relaxed geometry.

Results
- V (A^3/atom) = 60.264
- D(E_F) (states/eV/atom) = 0.88
- size of the total moment (μB/atom) = 0.000
- calculated density (g/cm3) = 1.90
- raw total energy (eV per atom) = -1.044

Cell: 11.5075 11.5075 4.7294 Å, 90.00 90.00 120.00°
Fractional coordinates of all 9 atoms:
K 0.0000 0.3942 0.0000
K 0.3942 0.0000 0.0000
K 0.6058 0.6058 0.0000
Rb 0.0000 0.7481 0.5000
Rb 0.2519 0.2519 0.5000
Rb 0.7481 0.0000 0.5000
Na 0.3333 0.6667 0.5000
Na 0.6667 0.3333 0.5000
Hg 0.0000 0.0000 0.0000


# 4
DFT (PBE-GGA) results for crystalline La8CoRu3Br4 at its relaxed geometry.

Results
- V (A^3/atom) = 29.383
- D(E_F) (states/eV/atom) = 0.60
- energy relative to the elements, uncorrected (eV per atom) = -0.898
- size of the total moment (μB/atom) = 0.000
- calculated density (g/cm3) = 6.33

Cell: 9.2579 9.2579 9.2579 Å, 53.08 53.08 53.08°
Fractional coordinates of all 16 atoms:
La 0.2321 0.2321 0.2321
La 0.2333 0.7304 0.7304
La 0.2696 0.2696 0.7667
La 0.2696 0.7667 0.2696
La 0.7304 0.2333 0.7304
La 0.7304 0.7304 0.2333
La 0.7667 0.2696 0.2696
La 0.7679 0.7679 0.7679
Co 0.5000 0.5000 0.5000
Ru 0.0000 0.0000 0.5000
Ru 0.0000 0.5000 0.0000
Ru 0.5000 0.0000 0.0000
Br 0.0000 0.0000 0.0000
Br 0.0000 0.5000 0.5000
Br 0.5000 0.0000 0.5000
Br 0.5000 0.5000 0.0000


# 5
DFT (PBE-GGA) results for crystalline MnAl2Co3 at its relaxed geometry.

Results
- V (A^3/atom) = 11.639
- D(E_F) (states/eV/atom) = 0.63
- size of the total moment (μB/atom) = 0.714
- calculated density (g/cm3) = 6.79
- raw total energy (eV per atom) = -6.726

Cell: 2.8601 2.8601 8.5375 Å, 90.00 90.00 90.00°
Fractional coordinates of all 6 atoms:
Mn 0.0000 0.0000 0.0000
Al 0.0000 0.0000 0.3310
Al 0.0000 0.0000 0.6690
Co 0.5000 0.5000 0.1640
Co 0.5000 0.5000 0.5000
Co 0.5000 0.5000 0.8360


# 6
DFT (PBE-GGA) results for crystalline ZrPb2AuCl at its relaxed geometry.

Results
- energy relative to the lowest polymorph listed for this composition (meV/atom) = 176
- V (A^3/atom) = 29.838
- D(E_F) (states/eV/atom) = 0.67
- energy relative to the elements, uncorrected (eV per atom) = 0.590
- size of the total moment (μB/atom) = 0.000
- calculated density (g/cm3) = 8.21

Cell: 5.5626 5.5626 4.8214 Å, 90.00 90.00 90.00°
Fractional coordinates of all 5 atoms:
Zr 0.0000 0.0000 0.0000
Pb 0.0000 0.5000 0.5000
Pb 0.5000 0.0000 0.5000
Au 0.5000 0.5000 0.5000
Cl 0.5000 0.5000 0.0000


# 7
DFT (PBE-GGA) results for crystalline MgCrPd at its relaxed geometry.

Results
- V (A^3/atom) = 15.487
- D(E_F) (states/eV/atom) = 0.72
- size of the total moment (μB/atom) = 0.000
- calculated density (g/cm3) = 6.53
- raw total energy (eV per atom) = -5.435

Cell: 7.4549 7.4549 4.3966 Å, 98.06 98.06 22.60°
Fractional coordinates of all 6 atoms:
Mg 0.0000 0.0000 0.0000
Mg 0.6805 0.6805 0.0775
Cr 0.3487 0.3487 0.1384
Cr 0.4427 0.4427 0.4796
Pd 0.1092 0.1092 0.5450
Pd 0.8019 0.8019 0.6258


# 8
DFT (PBE-GGA) results for crystalline Sc2FeCoAs at its relaxed geometry.

Results
- V (A^3/atom) = 21.441
- D(E_F) (states/eV/atom) = 1.34
- size of the total moment (μB/atom) = 0.540
- calculated density (g/cm3) = 4.33
- raw total energy (eV per atom) = -6.261

Cell: 4.9980 4.9980 4.2916 Å, 90.00 90.00 90.00°
Fractional coordinates of all 5 atoms:
Sc 0.0000 0.5000 0.0000
Sc 0.5000 0.0000 0.0000
Fe 0.0000 0.0000 0.5000
Co 0.5000 0.5000 0.5000
As 0.0000 0.0000 0.0000


# 9
DFT (PBE-GGA) results for crystalline SrOsI3 at its relaxed geometry.

Results
- energy relative to the lowest polymorph listed for this composition (meV/atom) = 664
- V (A^3/atom) = 51.233
- D(E_F) (states/eV/atom) = 1.60
- energy relative to the elements, uncorrected (eV per atom) = 0.615
- size of the total moment (μB/atom) = 1.000
- calculated density (g/cm3) = 4.27

Cell: 6.3510 6.3510 6.3510 Å, 90.00 90.00 90.00°
Fractional coordinates of all 5 atoms:
Sr 0.0000 0.0000 0.0000
Os 0.5000 0.5000 0.5000
I 0.0000 0.0000 0.5000
I 0.0000 0.5000 0.0000
I 0.5000 0.0000 0.0000


# 10
DFT (PBE-GGA) results for crystalline Ho3Er8Th3 at its relaxed geometry.

Results
- V (A^3/atom) = 31.550
- D(E_F) (states/eV/atom) = 1.50
- size of the total moment (μB/atom) = 0.000
- calculated density (g/cm3) = 9.51
- raw total energy (eV per atom) = -5.027

Cell: 9.5510 9.5510 9.5510 Å, 145.93 112.38 77.93°
Fractional coordinates of all 14 atoms:
Ho 0.0000 0.0000 0.0000
Ho 0.3050 0.0000 0.3050
Ho 0.6950 0.0000 0.6950
Er 0.0559 0.3971 0.6588
Er 0.0645 0.2231 0.8413
Er 0.2617 0.6029 0.6588
Er 0.3818 0.2231 0.1587
Er 0.6182 0.7769 0.8413
Er 0.7383 0.3971 0.3412
Er 0.9355 0.7769 0.1587
Er 0.9441 0.6029 0.3412
Th 0.3150 0.8150 0.5000
Th 0.5000 0.5000 0.0000
Th 0.6850 0.1850 0.5000


# 11
DFT (PBE-GGA) results for crystalline PmMgP at its relaxed geometry.

Results
- energy relative to the lowest polymorph listed for this composition (meV/atom) = 0
- V (A^3/atom) = 21.681
- D(E_F) (states/eV/atom) = 0.03
- size of the total moment (μB/atom) = 0.000
- calculated density (g/cm3) = 5.11

Cell: 4.3068 4.3068 4.0491 Å, 90.00 90.00 120.00°
Fractional coordinates of all 3 atoms:
Pm 0.0000 0.0000 0.0000
Mg 0.6667 0.3333 0.5000
P 0.3333 0.6667 0.5000


# 12
DFT (PBE-GGA) results for crystalline Tm4B3C4 at its relaxed geometry.

Results
- V (A^3/atom) = 13.015
- D(E_F) (states/eV/atom) = 0.19
- size of the total moment (μB/atom) = 0.000
- calculated density (g/cm3) = 8.77
- raw total energy (eV per atom) = -7.313

Cell: 3.4520 3.5428 11.7938 Å, 92.25 96.62 90.12°
Fractional coordinates of all 11 atoms:
Tm 0.1069 0.4567 0.1404
Tm 0.3080 0.0194 0.6508
Tm 0.6920 0.9806 0.3492
Tm 0.8931 0.5433 0.8596
B 0.2378 0.4949 0.4598
B 0.5000 0.0000 0.0000
B 0.7622 0.5051 0.5402
C 0.1851 0.4777 0.3315
C 0.3970 0.0500 0.8770
C 0.6030 0.9500 0.1230
C 0.8149 0.5223 0.6685


What is the formula in the seventh record? MgCrPd


Among the records above, which one has the lowest D(E_F)? PmMgP


Among the records above, which one has the highest V? K3Rb3Na2Hg